Density functional theory data (GGA-PBE) for NdTm2Rh3 after structural relaxation.

The space group is P4/mmm (No. 123) and the conventional cell measures 3.424, 3.424 and 10.357 Å, with angles of 90.00, 90.00 and 90.00 degrees. The inequivalent atoms are Nd at (0.000, 0.000, 0.000), Tm at (0.000, 0.000, 0.338), Rh at (0.500, 0.500, 0.181) and Rh at (0.500, 0.500, 0.500).

As for the energy above the most stable polymorph in this dataset: 0 meV/atom. The formation energy comes out at -5.07 eV/f.u.


Density functional theory data (GGA-PBE) for Nd2TmRh after structural relaxation.

The space group is P4/mmm (No. 123) and the conventional cell measures 3.621, 3.621 and 8.588 Å, with angles of 90.00, 90.00 and 90.00 degrees. The inequivalent atoms are Nd at (0.000, 0.000, 0.194), Tm at (0.500, 0.500, 0.500) and Rh at (0.500, 0.500, 0.000).

As for the energy above the most stable polymorph in this dataset: 207 meV/atom. The formation energy comes out at -1.00 eV/f.u.


Density functional theory data (GGA-PBE) for NdTm2Rh9 after structural relaxation.

The space group is R-3m (No. 166, hexagonal axes) and the conventional cell measures 5.2711, 5.2711 and 26.1902 Å, with angles of 90.00, 90.00 and 120.00 degrees. The inequivalent atoms are Nd at (0.0000, 0.0000, 0.0000), Tm at (0.0000, 0.0000, 0.1397), Rh at (0.0000, 0.0000, 0.3332), Rh at (0.0000, 0.0000, 0.5000) and Rh at (0.0011, 0.5005, 0.9163).

The formation energy comes out at -6.86 eV/f.u.


Density functional theory data (GGA-PBE) for Nd3TmRh3 after structural relaxation.

The space group is C2/m (No. 12) and the conventional cell measures 9.347, 10.435 and 7.118 Å, with angles of 90.00, 90.66 and 90.00 degrees. The inequivalent atoms are Nd at (0.000, 0.180, 0.000), Nd at (0.000, 0.254, 0.500), Nd at (0.169, 0.500, 0.878), Tm at (0.236, 0.000, 0.626), Rh at (0.063, 0.000, 0.305) and Rh at (0.245, 0.257, 0.226).

The formation energy comes out at -4.14 eV/f.u.


Density functional theory data (GGA-PBE) for NdTm5Rh6 after structural relaxation.

The space group is Cmmm (No. 65) and the conventional cell measures 4.774, 14.372 and 6.916 Å, with angles of 90.00, 90.00 and 90.00 degrees. The inequivalent atoms are Nd at (0.000, 0.000, 0.000), Tm at (0.000, 0.000, 0.500), Tm at (0.000, 0.331, 0.000), Tm at (0.000, 0.333, 0.500), Rh at (0.000, 0.169, 0.254) and Rh at (0.000, 0.500, 0.259).

The formation energy comes out at -10.84 eV/f.u.


Density functional theory data (GGA-PBE) for Nd2TmRh after structural relaxation.

The space group is Pnma (No. 62) and the conventional cell measures 7.250, 9.934 and 6.323 Å, with angles of 90.00, 90.00 and 90.00 degrees. The inequivalent atoms are Nd at (0.179, 0.065, 0.171), Tm at (0.039, 0.250, 0.652) and Rh at (0.122, 0.750, 0.951).

As for the energy above the most stable polymorph in this dataset: 0 meV/atom. The formation energy comes out at -1.83 eV/f.u.


Density functional theory data (GGA-PBE) for NdTm2Rh after structural relaxation.

The space group is R-3m (No. 166, hexagonal axes) and the conventional cell measures 3.7464, 3.7464 and 28.2091 Å, with angles of 90.00, 90.00 and 120.00 degrees. The inequivalent atoms are Nd at (0.0000, 0.0000, 0.0000), Tm at (0.0000, 0.0000, 0.2250) and Rh at (0.0000, 0.0000, 0.5000).

As for the energy above the most stable polymorph in this dataset: 151 meV/atom. The formation energy comes out at -1.48 eV/f.u.


Density functional theory data (GGA-PBE) for NdTm4Rh5 after structural relaxation.

The space group is P4/mmm (No. 123) and the conventional cell measures 3.365, 3.365 and 17.504 Å, with angles of 90.00, 90.00 and 90.00 degrees. The inequivalent atoms are Nd at (0.000, 0.000, 0.000), Tm at (0.000, 0.000, 0.206), Tm at (0.000, 0.000, 0.402), Rh at (0.500, 0.500, 0.111), Rh at (0.500, 0.500, 0.305) and Rh at (0.500, 0.500, 0.500).

The formation energy comes out at -8.91 eV/f.u.


Density functional theory data (GGA-PBE) for Nd2TmRh after structural relaxation.

The space group is R-3m (No. 166, hexagonal axes) and the conventional cell measures 3.6918, 3.6918 and 31.8993 Å, with angles of 90.00, 90.00 and 120.00 degrees. The inequivalent atoms are Nd at (0.0000, 0.0000, 0.1087), Tm at (0.0000, 0.0000, 0.0000) and Rh at (0.0000, 0.0000, 0.5000).

As for the energy above the most stable polymorph in this dataset: 407 meV/atom. The formation energy comes out at -0.20 eV/f.u.


Density functional theory data (GGA-PBE) for Nd5TmRh4 after structural relaxation.

The space group is C2/m (No. 12) and the conventional cell measures 15.322, 4.766 and 7.103 Å, with angles of 90.00, 94.60 and 90.00 degrees. The inequivalent atoms are Nd at (0.000, 0.000, 0.000), Nd at (0.164, 0.500, 0.558), Nd at (0.168, 0.500, 0.062), Tm at (0.000, 0.000, 0.500), Rh at (0.001, 0.500, 0.259) and Rh at (0.154, 0.000, 0.284).

The formation energy comes out at -5.87 eV/f.u.


Density functional theory data (GGA-PBE) for NdTmRh after structural relaxation.

The space group is I4mm (No. 107) and the conventional cell measures 3.482, 3.482 and 12.672 Å, with angles of 90.00, 90.00 and 90.00 degrees. The inequivalent atoms are Nd at (0.000, 0.000, 0.000), Tm at (0.000, 0.000, 0.263) and Rh at (0.000, 0.000, 0.646).

As for the energy above the most stable polymorph in this dataset: 79 meV/atom. The formation energy comes out at -1.54 eV/f.u.


Density functional theory data (GGA-PBE) for NdTm2Rh after structural relaxation.

The space group is P4/mmm (No. 123) and the conventional cell measures 3.459, 3.459 and 8.693 Å, with angles of 90.00, 90.00 and 90.00 degrees. The inequivalent atoms are Nd at (0.000, 0.000, 0.000), Tm at (0.500, 0.500, 0.315) and Rh at (0.000, 0.000, 0.500).

As for the energy above the most stable polymorph in this dataset: 53 meV/atom. The formation energy comes out at -1.87 eV/f.u.


Density functional theory data (GGA-PBE) for NdTm3Rh2 after structural relaxation.

The space group is C2/m (No. 12) and the conventional cell measures 15.195, 5.026 and 8.104 Å, with angles of 90.00, 109.75 and 90.00 degrees. The inequivalent atoms are Nd at (0.140, 0.000, 0.236), Tm at (0.071, 0.000, 0.743), Tm at (0.124, 0.500, 0.521), Tm at (0.184, 0.500, 0.997), Rh at (0.002, 0.500, 0.181) and Rh at (0.227, 0.000, 0.634).

The formation energy comes out at -3.27 eV/f.u.


Density functional theory data (GGA-PBE) for NdTm5Rh4 after structural relaxation.

The space group is P4/mmm (No. 123) and the conventional cell measures 3.392, 3.392 and 19.075 Å, with angles of 90.00, 90.00 and 90.00 degrees. The inequivalent atoms are Nd at (0.000, 0.000, 0.000), Tm at (0.500, 0.500, 0.149), Tm at (0.500, 0.500, 0.323), Tm at (0.500, 0.500, 0.500), Rh at (0.000, 0.000, 0.232) and Rh at (0.000, 0.000, 0.411).

The formation energy comes out at -7.80 eV/f.u.


Density functional theory data (GGA-PBE) for NdTm2Rh after structural relaxation.

The space group is Cmcm (No. 63) and the conventional cell measures 3.766, 12.177 and 9.325 Å, with angles of 90.00, 90.00 and 90.00 degrees. The inequivalent atoms are Nd at (0.000, 0.071, 0.250), Tm at (0.000, 0.359, 0.068) and Rh at (0.000, 0.242, 0.750).

As for the energy above the most stable polymorph in this dataset: 26 meV/atom. The formation energy comes out at -1.98 eV/f.u.


Density functional theory data (GGA-PBE) for Nd3TmRh4 after structural relaxation.

The space group is P4/mmm (No. 123) and the conventional cell measures 3.456, 3.456 and 14.391 Å, with angles of 90.00, 90.00 and 90.00 degrees. The inequivalent atoms are Nd at (0.000, 0.000, 0.000), Nd at (0.000, 0.000, 0.255), Tm at (0.000, 0.000, 0.500), Rh at (0.500, 0.500, 0.128) and Rh at (0.500, 0.500, 0.386).

The formation energy comes out at -5.60 eV/f.u.


Density functional theory data (GGA-PBE) for NdTmRh after structural relaxation.

The space group is P2_1/c (No. 14) and the conventional cell measures 6.890, 6.051 and 10.253 Å, with angles of 90.00, 128.18 and 90.00 degrees. The inequivalent atoms are Nd at (0.183, 0.130, 0.387), Tm at (0.340, 0.615, 0.633) and Rh at (0.338, 0.670, 0.365).

As for the energy above the most stable polymorph in this dataset: 76 meV/atom. The formation energy comes out at -1.54 eV/f.u.


Density functional theory data (GGA-PBE) for NdTmRh after structural relaxation.

The space group is F-43m (No. 216) and the conventional cell measures 6.872, 6.872 and 6.872 Å, with angles of 90.00, 90.00 and 90.00 degrees. The inequivalent atoms are Nd at (0.000, 0.000, 0.000), Tm at (0.000, 0.000, 0.500) and Rh at (0.250, 0.250, 0.750).

As for the energy above the most stable polymorph in this dataset: 65 meV/atom. The formation energy comes out at -1.58 eV/f.u.


Density functional theory data (GGA-PBE) for NdTmRh after structural relaxation.

The space group is P3m1 (No. 156) and the conventional cell measures 4.0604, 4.0604 and 6.1998 Å, with angles of 90.00, 90.00 and 120.00 degrees. The inequivalent atoms are Nd at (0.0000, 0.0000, 0.0000), Tm at (0.6667, 0.3333, 0.5206) and Rh at (0.3333, 0.6667, 0.7431).

As for the energy above the most stable polymorph in this dataset: 111 meV/atom. The formation energy comes out at -1.44 eV/f.u.


Density functional theory data (GGA-PBE) for Nd2TmRh9 after structural relaxation.

The space group is R-3m (No. 166, hexagonal axes) and the conventional cell measures 5.2781, 5.2781 and 26.7034 Å, with angles of 90.00, 90.00 and 120.00 degrees. The inequivalent atoms are Nd at (0.0000, 0.0000, 0.1384), Tm at (0.0000, 0.0000, 0.0000), Rh at (0.0000, 0.0000, 0.3328), Rh at (0.0000, 0.0000, 0.5000) and Rh at (0.0007, 0.5004, 0.0809).

The formation energy comes out at -6.10 eV/f.u.


Density functional theory data (GGA-PBE) for NdTmRh after structural relaxation.

The space group is P2_1/m (No. 11) and the conventional cell measures 4.677, 4.758 and 7.050 Å, with angles of 90.00, 97.60 and 90.00 degrees. The inequivalent atoms are Nd at (0.235, 0.250, 0.387), Tm at (0.264, 0.750, 0.007) and Rh at (0.173, 0.250, 0.776).

As for the energy above the most stable polymorph in this dataset: 0 meV/atom. The formation energy comes out at -1.77 eV/f.u.


Density functional theory data (GGA-PBE) for NdTm2Rh after structural relaxation.

The space group is R3m (No. 160, hexagonal axes) and the conventional cell measures 3.8711, 3.8711 and 26.8654 Å, with angles of 90.00, 90.00 and 120.00 degrees. The inequivalent atoms are Nd at (0.0000, 0.0000, 0.0000), Tm at (0.0000, 0.0000, 0.2262), Tm at (0.0000, 0.0000, 0.4451) and Rh at (0.0000, 0.0000, 0.8356).

As for the energy above the most stable polymorph in this dataset: 135 meV/atom. The formation energy comes out at -1.54 eV/f.u.


Density functional theory data (GGA-PBE) for NdTm2Rh3 after structural relaxation.

The space group is P-3m1 (No. 164) and the conventional cell measures 4.8485, 4.8485 and 5.9728 Å, with angles of 90.00, 90.00 and 120.00 degrees. The inequivalent atoms are Nd at (0.0000, 0.0000, 0.0000), Tm at (0.3333, 0.6667, 0.6617), Rh at (0.0000, 0.0000, 0.5000) and Rh at (0.3333, 0.6667, 0.1787).

As for the energy above the most stable polymorph in this dataset: 6 meV/atom. The formation energy comes out at -5.04 eV/f.u.


Density functional theory data (GGA-PBE) for Nd2TmRh after structural relaxation.

The space group is Pnna (No. 52) and the conventional cell measures 6.711, 6.415 and 11.517 Å, with angles of 90.00, 90.00 and 90.00 degrees. The inequivalent atoms are Nd at (0.091, 0.245, 0.088), Tm at (0.074, 0.250, 0.750) and Rh at (0.250, 0.000, 0.591).

As for the energy above the most stable polymorph in this dataset: 90 meV/atom. The formation energy comes out at -1.47 eV/f.u.


Computed uncorrected energy, in the same sequence as the records: -6.806; -5.591; -7.228; -6.424; -6.839; -5.798; -5.635; -6.832; -5.390; -6.359; -6.042; -5.733; -6.026; -6.433; -5.760; -6.723; -6.044; -6.056; -6.010; -7.189; -6.121; -5.651; -6.800; -5.708 eV/atom.
Computed spin magnetization, in the same sequence as the records: 0.00; 0.89; 0.00; 0.00; 0.00; 0.00; 0.00; 0.00; 0.00; 0.00; 0.00; 0.00; 0.00; 0.00; 0.00; 0.00; 0.00; 0.00; 0.00; 0.00; 0.00; 0.00; 0.00; 0.00 μB/f.u..